[1]
A relaxed structure of Dy4TcAg. Source: the Alexandria database, functional PBE-GGA.

Computed properties:
D(E_F) in states/eV per atom: 0.869
Formation enthalpy at 0 K in eV per atom: -0.18
Energy above the most stable polymorph in this dataset in eV/atom: 0.0000
Density in Mg/m³: 8.90

The structure in CIF format:
```
data_Dy4TcAg
_chemical_formula_sum 'Dy16 Tc4 Ag4'
_cell_length_a 8.397
_cell_length_b 12.561
_cell_length_c 6.292
_cell_angle_alpha 90.00
_cell_angle_beta 105.83
_cell_angle_gamma 90.00
_symmetry_space_group_name_H-M 'C 1 2/c 1'
_symmetry_Int_Tables_number 15
loop_
_symmetry_equiv_pos_as_xyz
'x,y,z'
'-x,-y,-z'
'-x,y,-z+1/2'
'x,-y,z+1/2'
'x+1/2,y+1/2,z'
'-x+1/2,-y+1/2,-z'
'-x+1/2,y+1/2,-z+1/2'
'x+1/2,-y+1/2,z+1/2'
loop_
_atom_site_label
_atom_site_fract_x
_atom_site_fract_y
_atom_site_fract_z
_atom_site_occupancy
Dy1 0.104 0.173 0.041 1
Dy2 0.212 0.422 0.407 1
Tc1 0.000 0.001 0.250 1
Ag1 0.000 0.373 0.750 1
```



[2]
A relaxed structure of Dy2TcAg. Source: the Alexandria database, functional PBE-GGA.

Computed properties:
D(E_F) in states/eV per atom: 0.566
Formation enthalpy at 0 K in eV per atom: -0.20
Density in Mg/m³: 9.94

The structure in CIF format:
```
data_Dy2TcAg
_chemical_formula_sum 'Dy2 Tc1 Ag1'
_cell_length_a 3.475
_cell_length_b 3.475
_cell_length_c 7.340
_cell_angle_alpha 90.00
_cell_angle_beta 90.00
_cell_angle_gamma 90.00
_symmetry_space_group_name_H-M 'P 4/m m m'
_symmetry_Int_Tables_number 123
_symmetry_space_group_name_Hall '-P 4 2'
loop_
_atom_site_label
_atom_site_fract_x
_atom_site_fract_y
_atom_site_fract_z
_atom_site_occupancy
Dy1 0.000 0.000 0.223 1
Tc1 0.500 0.500 0.000 1
Ag1 0.500 0.500 0.500 1
```



[3]
A relaxed structure of DyTmTcAg. Source: the Alexandria database, functional PBE-GGA.

Computed properties:
D(E_F) in states/eV per atom: 0.660
Formation enthalpy at 0 K in eV per atom: -0.15
Density in Mg/m³: 10.49

The structure in CIF format:
```
data_DyTmTcAg
_chemical_formula_sum 'Dy4 Tm4 Tc4 Ag4'
_cell_length_a 6.980
_cell_length_b 6.980
_cell_length_c 6.980
_cell_angle_alpha 90.00
_cell_angle_beta 90.00
_cell_angle_gamma 90.00
_symmetry_space_group_name_H-M 'F -4 3 m'
_symmetry_Int_Tables_number 216
_symmetry_space_group_name_Hall 'F -4 2 3'
loop_
_atom_site_label
_atom_site_fract_x
_atom_site_fract_y
_atom_site_fract_z
_atom_site_occupancy
Dy1 0.000 0.000 0.000 1
Tm1 0.000 0.000 0.500 1
Tc1 0.250 0.250 0.250 1
Ag1 0.250 0.250 0.750 1
```



[4]
A relaxed structure of Dy2AgTe. Source: the Alexandria database, functional PBE-GGA.

Computed properties:
D(E_F) in states/eV per atom: 0.884
E_form (uncorrected) in eV per atom: -0.66
Energy above the most stable polymorph in this dataset in eV/atom: 0.1256
Density in Mg/m³: 9.08

The structure in CIF format:
```
data_Dy2AgTe
_chemical_formula_sum 'Dy2 Ag1 Te1'
_cell_length_a 3.831
_cell_length_b 3.831
_cell_length_c 6.982
_cell_angle_alpha 90.00
_cell_angle_beta 90.00
_cell_angle_gamma 90.00
_symmetry_space_group_name_H-M 'P 4/m m m'
_symmetry_Int_Tables_number 123
_symmetry_space_group_name_Hall '-P 4 2'
loop_
_atom_site_label
_atom_site_fract_x
_atom_site_fract_y
_atom_site_fract_z
_atom_site_occupancy
Dy1 0.000 0.000 0.245 1
Ag1 0.500 0.500 0.000 1
Te1 0.500 0.500 0.500 1
```



[5]
A relaxed structure of Dy2AgTe. Source: the Alexandria database, functional PBE-GGA.

Computed properties:
D(E_F) in states/eV per atom: 0.891
E_form (uncorrected) in eV per atom: -0.71
Energy above the most stable polymorph in this dataset in eV/atom: 0.0754
Density in Mg/m³: 8.26

The structure in CIF format:
```
data_Dy2AgTe
_chemical_formula_sum 'Dy6 Ag3 Te3'
_cell_length_a 4.1591
_cell_length_b 4.1591
_cell_length_c 22.5567
_cell_angle_alpha 90.00
_cell_angle_beta 90.00
_cell_angle_gamma 120.00
_symmetry_space_group_name_H-M 'R -3 m'
_symmetry_Int_Tables_number 166
_symmetry_space_group_name_Hall '-R 3 2"'
loop_
_atom_site_label
_atom_site_fract_x
_atom_site_fract_y
_atom_site_fract_z
_atom_site_occupancy
Dy1 0.0000 0.0000 0.2462 1
Ag1 0.0000 0.0000 0.5000 1
Te1 0.0000 0.0000 0.0000 1
```



[6]
A relaxed structure of DyAgTe3. Source: the Alexandria database, functional PBE-GGA.

Computed properties:
D(E_F) in states/eV per atom: 0.551
E_form (uncorrected) in eV per atom: -0.63
Density in Mg/m³: 7.40

The structure in CIF format:
```
data_DyAgTe3
_chemical_formula_sum 'Dy2 Ag2 Te6'
_cell_length_a 4.296
_cell_length_b 6.255
_cell_length_c 10.916
_cell_angle_alpha 90.00
_cell_angle_beta 90.00
_cell_angle_gamma 90.00
_symmetry_space_group_name_H-M 'P m m n'
_symmetry_Int_Tables_number 59
loop_
_symmetry_equiv_pos_as_xyz
'x,y,z'
'-x,-y,-z'
'-x+1/2,-y+1/2,z'
'x+1/2,y+1/2,-z'
'x+1/2,-y,-z'
'-x+1/2,y,z'
'-x,y+1/2,-z'
'x,-y+1/2,z'
loop_
_atom_site_label
_atom_site_fract_x
_atom_site_fract_y
_atom_site_fract_z
_atom_site_occupancy
Dy1 0.250 0.250 0.146 1
Ag1 0.250 0.750 0.457 1
Te1 0.250 0.507 0.684 1
Te2 0.250 0.750 0.056 1
```



[7]
A relaxed structure of Dy2Ag4Te5. Source: the Alexandria database, functional PBE-GGA.

Computed properties:
D(E_F) in states/eV per atom: 0.513
E_form (uncorrected) in eV per atom: -0.53
Density in Mg/m³: 7.05

The structure in CIF format:
```
data_Dy2Ag4Te5
_chemical_formula_sum 'Dy6 Ag12 Te15'
_cell_length_a 4.4545
_cell_length_b 4.4545
_cell_length_c 57.3496
_cell_angle_alpha 90.00
_cell_angle_beta 90.00
_cell_angle_gamma 120.00
_symmetry_space_group_name_H-M 'R -3 m'
_symmetry_Int_Tables_number 166
_symmetry_space_group_name_Hall '-R 3 2"'
loop_
_atom_site_label
_atom_site_fract_x
_atom_site_fract_y
_atom_site_fract_z
_atom_site_occupancy
Dy1 0.0000 0.0000 0.1359 1
Ag1 0.0000 0.0000 0.3160 1
Ag2 0.0000 0.0000 0.4154 1
Te1 0.0000 0.0000 0.2280 1
Te2 0.0000 0.0000 0.3679 1
Te3 0.0000 0.0000 0.5000 1
```



[8]
A relaxed structure of Dy4AgTe. Source: the Alexandria database, functional PBE-GGA.

Computed properties:
D(E_F) in states/eV per atom: 1.272
E_form (uncorrected) in eV per atom: -0.28
Density in Mg/m³: 7.87

The structure in CIF format:
```
data_Dy4AgTe
_chemical_formula_sum 'Dy8 Ag2 Te2'
_cell_length_a 5.893
_cell_length_b 8.407
_cell_length_c 7.863
_cell_angle_alpha 90.00
_cell_angle_beta 106.41
_cell_angle_gamma 90.00
_symmetry_space_group_name_H-M 'P 1 21/m 1'
_symmetry_Int_Tables_number 11
loop_
_symmetry_equiv_pos_as_xyz
'x,y,z'
'-x,-y,-z'
'-x,y+1/2,-z'
'x,-y+1/2,z'
loop_
_atom_site_label
_atom_site_fract_x
_atom_site_fract_y
_atom_site_fract_z
_atom_site_occupancy
Dy1 0.006 0.051 0.239 1
Dy2 0.411 0.250 0.013 1
Dy3 0.424 0.750 0.510 1
Ag1 0.155 0.750 0.093 1
Te1 0.118 0.250 0.584 1
```



[9]
A relaxed structure of DyAgTe. Source: the Alexandria database, functional PBE-GGA.

Computed properties:
D(E_F) in states/eV per atom: 0.352
E_form (uncorrected) in eV per atom: -0.73
Density in Mg/m³: 6.80

The structure in CIF format:
```
data_DyAgTe
_chemical_formula_sum 'Dy4 Ag4 Te4'
_cell_length_a 8.170
_cell_length_b 4.545
_cell_length_c 10.824
_cell_angle_alpha 90.00
_cell_angle_beta 104.71
_cell_angle_gamma 90.00
_symmetry_space_group_name_H-M 'C 1 2/m 1'
_symmetry_Int_Tables_number 12
loop_
_symmetry_equiv_pos_as_xyz
'x,y,z'
'-x,-y,-z'
'-x,y,-z'
'x,-y,z'
'x+1/2,y+1/2,z'
'-x+1/2,-y+1/2,-z'
'-x+1/2,y+1/2,-z'
'x+1/2,-y+1/2,z'
loop_
_atom_site_label
_atom_site_fract_x
_atom_site_fract_y
_atom_site_fract_z
_atom_site_occupancy
Dy1 0.056 0.000 0.186 1
Ag1 0.171 0.500 0.021 1
Te1 0.226 0.000 0.677 1
```



[10]
A relaxed structure of DyAgTe2. Source: the Alexandria database, functional PBE-GGA.

Computed properties:
E_form (uncorrected) in eV per atom: -0.91
Density in Mg/m³: 7.30

The structure in CIF format:
```
data_DyAgTe2
_chemical_formula_sum 'Dy2 Ag2 Te4'
_cell_length_a 7.109
_cell_length_b 7.109
_cell_length_c 4.731
_cell_angle_alpha 90.00
_cell_angle_beta 90.00
_cell_angle_gamma 90.00
_symmetry_space_group_name_H-M 'P -4 21 m'
_symmetry_Int_Tables_number 113
loop_
_symmetry_equiv_pos_as_xyz
'x,y,z'
'y,-x,-z'
'-x,-y,z'
'-y,x,-z'
'x+1/2,-y+1/2,-z'
'y+1/2,x+1/2,z'
'-x+1/2,y+1/2,-z'
'-y+1/2,-x+1/2,z'
loop_
_atom_site_label
_atom_site_fract_x
_atom_site_fract_y
_atom_site_fract_z
_atom_site_occupancy
Dy1 0.000 0.500 0.190 1
Ag1 0.000 0.000 0.000 1
Te1 0.202 0.702 0.709 1
```



Number 1: VASP energy -32.71 eV per formula unit, magnetization 0.00 μB per cell. Number 2: VASP energy -23.23 eV per formula unit, magnetization 0.00 μB per cell. Number 3: VASP energy -22.89 eV per formula unit, magnetization 0.00 μB per cell. Number 4: VASP energy -17.84 eV per formula unit, magnetization 1.00 μB per cell. Number 5: VASP energy -18.04 eV per formula unit, magnetization 0.00 μB per cell. Number 6: VASP energy -20.04 eV per formula unit, magnetization 0.00 μB per cell. Number 7: VASP energy -42.12 eV per formula unit, magnetization 0.00 μB per cell. Number 8: VASP energy -26.10 eV per formula unit, magnetization 0.00 μB per cell. Number 9: VASP energy -12.79 eV per formula unit, magnetization 0.00 μB per cell. Number 10: VASP energy -17.38 eV per formula unit, magnetization 0.00 μB per cell.